{"formula": "MgZnPb2", "functional": "GGA-PBE", "state": "optimized geometry", "dos_at_fermi_per_ev_cell": 3.274, "crystal_system": "tetragonal", "sg": "I-4m2, No. 119", "e_above_lowest_polymorph_mev_per_atom": 56, "magmom_total_mub_per_atom": 0.000, "dft_energy_ev_per_atom": -2.5048, "cell": [[4.511, 0.000, 0.000], [0.000, 4.511, 0.000], [0.000, 0.000, 10.005]], "species": ["Mg", "Mg", "Zn", "Zn", "Pb", "Pb", "Pb", "Pb"], "fractional_positions": [[0.000, 0.000, 0.000], [0.500, 0.500, 0.500], [0.000, 0.500, 0.250], [0.500, 0.000, 0.750], [0.000, 0.000, 0.500], [0.000, 0.500, 0.750], [0.500, 0.000, 0.250], [0.500, 0.500, 0.000]]}


{"formula": "TmGa4Pd2", "functional": "GGA-PBE", "state": "optimized geometry", "dos_at_fermi_per_ev_cell": 5.877, "crystal_system": "tetragonal", "sg": "P4_2/mnm, No. 136", "e_above_lowest_polymorph_mev_per_atom": 99, "magmom_total_mub_per_atom": 0.000, "dft_energy_ev_per_atom": -4.4115, "cell": [[8.628, 0.000, 0.000], [0.000, 8.628, 0.000], [0.000, 0.000, 3.405]], "species": ["Tm", "Tm", "Ga", "Ga", "Ga", "Ga", "Ga", "Ga", "Ga", "Ga", "Pd", "Pd", "Pd", "Pd"], "fractional_positions": [[0.000, 0.000, 0.000], [0.500, 0.500, 0.500], [0.066, 0.313, 0.500], [0.187, 0.566, 0.000], [0.313, 0.066, 0.500], [0.434, 0.813, 0.000], [0.566, 0.187, 0.000], [0.687, 0.934, 0.500], [0.813, 0.434, 0.000], [0.934, 0.687, 0.500], [0.206, 0.794, 0.500], [0.294, 0.294, 0.000], [0.706, 0.706, 0.000], [0.794, 0.206, 0.500]]}


{"formula": "SmEr4MgS8", "functional": "GGA-PBE", "state": "optimized geometry", "dos_at_fermi_per_ev_cell": 3.349, "e_form_raw_ev_per_atom": -1.910, "crystal_system": "trigonal", "sg": "R3m, No. 160", "magmom_total_mub_per_atom": 0.000, "dft_energy_ev_per_atom": -6.0231, "cell": [[3.970, 2.292, 6.519], [-3.970, 2.292, 6.519], [0.000, -4.584, 6.519]], "species": ["Sm", "Er", "Er", "Er", "Er", "Mg", "S", "S", "S", "S", "S", "S", "S", "S"], "fractional_positions": [[0.000, 0.000, 0.000], [0.000, 0.000, 0.490], [0.000, 0.490, 0.000], [0.490, 0.000, 0.000], [0.623, 0.623, 0.623], [0.373, 0.373, 0.373], [0.226, 0.751, 0.751], [0.243, 0.243, 0.243], [0.248, 0.248, 0.759], [0.248, 0.759, 0.248], [0.751, 0.226, 0.751], [0.751, 0.751, 0.226], [0.756, 0.756, 0.756], [0.759, 0.248, 0.248]]}


{"formula": "InAgW2", "functional": "GGA-PBE", "state": "optimized geometry", "dos_at_fermi_per_ev_cell": 1.863, "crystal_system": "orthorhombic", "sg": "Pmmm, No. 47", "magmom_total_mub_per_atom": 0.000, "dft_energy_ev_per_atom": -7.2216, "cell": [[2.785, 0.000, 0.000], [0.000, 4.602, 0.000], [0.000, 0.000, 5.472]], "species": ["In", "Ag", "W", "W"], "fractional_positions": [[0.000, 0.000, 0.000], [0.000, 0.000, 0.500], [0.500, 0.500, 0.246], [0.500, 0.500, 0.754]]}


{"formula": "Re4Se8S", "functional": "GGA-PBE", "state": "optimized geometry", "dos_at_fermi_per_ev_cell": 7.534, "e_form_raw_ev_per_atom": 0.018, "crystal_system": "monoclinic", "sg": "Cm, No. 8", "magmom_total_mub_per_atom": 0.000, "dft_energy_ev_per_atom": -6.2735, "cell": [[8.941, -1.637, 0.000], [8.941, 1.637, 0.000], [-8.925, 0.000, 8.966]], "species": ["Re", "Re", "Re", "Re", "Se", "Se", "Se", "Se", "Se", "Se", "Se", "Se", "S"], "fractional_positions": [[0.000, 0.000, 0.000], [0.379, 0.379, 0.742], [0.509, 0.509, 0.379], [0.870, 0.870, 0.361], [0.023, 0.023, 0.830], [0.041, 0.041, 0.263], [0.062, 0.062, 0.577], [0.316, 0.316, 0.164], [0.338, 0.338, 0.478], [0.356, 0.356, 0.912], [0.648, 0.648, 0.180], [0.731, 0.731, 0.562], [0.691, 0.691, 0.870]]}


{"formula": "BaBiAu5", "functional": "GGA-PBE", "state": "optimized geometry", "dos_at_fermi_per_ev_cell": 7.329, "crystal_system": "orthorhombic", "sg": "Pnma, No. 62", "magmom_total_mub_per_atom": 0.000, "dft_energy_ev_per_atom": -3.5449, "cell": [[9.776, 0.000, 0.000], [0.000, 5.837, 0.000], [0.000, 0.000, 11.640]], "species": ["Ba", "Ba", "Ba", "Ba", "Bi", "Bi", "Bi", "Bi", "Au", "Au", "Au", "Au", "Au", "Au", "Au", "Au", "Au", "Au", "Au", "Au", "Au", "Au", "Au", "Au", "Au", "Au", "Au", "Au"], "fractional_positions": [[0.248, 0.250, 0.061], [0.252, 0.750, 0.561], [0.748, 0.250, 0.439], [0.752, 0.750, 0.939], [0.137, 0.750, 0.862], [0.363, 0.250, 0.362], [0.637, 0.750, 0.638], [0.863, 0.250, 0.138], [0.064, 0.750, 0.096], [0.074, 0.003, 0.308], [0.074, 0.497, 0.308], [0.081, 0.250, 0.518], [0.179, 0.250, 0.751], [0.321, 0.750, 0.251], [0.419, 0.750, 0.018], [0.426, 0.503, 0.808], [0.426, 0.997, 0.808], [0.436, 0.250, 0.596], [0.564, 0.750, 0.404], [0.574, 0.003, 0.192], [0.574, 0.497, 0.192], [0.581, 0.250, 0.982], [0.679, 0.250, 0.749], [0.821, 0.750, 0.249], [0.919, 0.750, 0.482], [0.926, 0.503, 0.692], [0.926, 0.997, 0.692], [0.936, 0.250, 0.904]]}


{"formula": "PaCo2P2Ru", "functional": "GGA-PBE", "state": "optimized geometry", "dos_at_fermi_per_ev_cell": 6.676, "crystal_system": "trigonal", "sg": "P-3m1, No. 164", "magmom_total_mub_per_atom": 0.000, "dft_energy_ev_per_atom": -8.0285, "cell": [[3.828, 0.000, 0.000], [-1.914, 3.315, 0.000], [0.000, 0.000, 6.682]], "species": ["Pa", "Co", "Co", "P", "P", "Ru"], "fractional_positions": [[0.000, 0.000, 0.000], [0.333, 0.667, 0.736], [0.667, 0.333, 0.264], [0.333, 0.667, 0.303], [0.667, 0.333, 0.697], [0.000, 0.000, 0.500]]}


{"formula": "EuCdGePb", "functional": "GGA-PBE", "state": "optimized geometry", "dos_at_fermi_per_ev_cell": 5.488, "crystal_system": "cubic", "sg": "F-43m, No. 216", "magmom_total_mub_per_atom": 1.767, "dft_energy_ev_per_atom": -5.0918, "cell": [[7.572, 0.000, 0.000], [0.000, 7.572, 0.000], [0.000, 0.000, 7.572]], "species": ["Eu", "Eu", "Eu", "Eu", "Cd", "Cd", "Cd", "Cd", "Ge", "Ge", "Ge", "Ge", "Pb", "Pb", "Pb", "Pb"], "fractional_positions": [[0.000, 0.000, 0.000], [0.000, 0.500, 0.500], [0.500, 0.000, 0.500], [0.500, 0.500, 0.000], [0.250, 0.250, 0.250], [0.250, 0.750, 0.750], [0.750, 0.250, 0.750], [0.750, 0.750, 0.250], [0.250, 0.250, 0.750], [0.250, 0.750, 0.250], [0.750, 0.250, 0.250], [0.750, 0.750, 0.750], [0.000, 0.000, 0.500], [0.000, 0.500, 0.000], [0.500, 0.000, 0.000], [0.500, 0.500, 0.500]]}


{"formula": "LiAl2Ag", "functional": "GGA-PBE", "state": "optimized geometry", "dos_at_fermi_per_ev_cell": 7.126, "crystal_system": "tetragonal", "sg": "I-42d, No. 122", "e_above_lowest_polymorph_mev_per_atom": 284, "magmom_total_mub_per_atom": 0.000, "dft_energy_ev_per_atom": -2.9166, "cell": [[7.696, 0.000, 0.000], [0.000, 7.696, 0.000], [0.000, 0.000, 5.282]], "species": ["Li", "Li", "Li", "Li", "Al", "Al", "Al", "Al", "Al", "Al", "Al", "Al", "Ag", "Ag", "Ag", "Ag"], "fractional_positions": [[0.000, 0.000, 0.000], [0.000, 0.500, 0.250], [0.500, 0.000, 0.750], [0.500, 0.500, 0.500], [0.213, 0.750, 0.625], [0.250, 0.213, 0.375], [0.250, 0.287, 0.875], [0.287, 0.750, 0.125], [0.713, 0.250, 0.125], [0.750, 0.713, 0.875], [0.750, 0.787, 0.375], [0.787, 0.250, 0.625], [0.000, 0.000, 0.500], [0.000, 0.500, 0.750], [0.500, 0.000, 0.250], [0.500, 0.500, 0.000]]}


{"formula": "GdGaAgPt", "functional": "GGA-PBE", "state": "optimized geometry", "dos_at_fermi_per_ev_cell": 8.344, "crystal_system": "cubic", "sg": "F-43m, No. 216", "magmom_total_mub_per_atom": 1.773, "dft_energy_ev_per_atom": -7.0859, "cell": [[6.789, 0.000, 0.000], [0.000, 6.789, 0.000], [0.000, 0.000, 6.789]], "species": ["Gd", "Gd", "Gd", "Gd", "Ga", "Ga", "Ga", "Ga", "Ag", "Ag", "Ag", "Ag", "Pt", "Pt", "Pt", "Pt"], "fractional_positions": [[0.000, 0.000, 0.000], [0.000, 0.500, 0.500], [0.500, 0.000, 0.500], [0.500, 0.500, 0.000], [0.000, 0.000, 0.500], [0.000, 0.500, 0.000], [0.500, 0.000, 0.000], [0.500, 0.500, 0.500], [0.250, 0.250, 0.250], [0.250, 0.750, 0.750], [0.750, 0.250, 0.750], [0.750, 0.750, 0.250], [0.250, 0.250, 0.750], [0.250, 0.750, 0.250], [0.750, 0.250, 0.250], [0.750, 0.750, 0.750]]}


{"formula": "BiPd4Pb5", "functional": "GGA-PBE", "state": "optimized geometry", "dos_at_fermi_per_ev_cell": 5.112, "crystal_system": "monoclinic", "sg": "C2/m, No. 12", "e_above_lowest_polymorph_mev_per_atom": 60, "magmom_total_mub_per_atom": 0.000, "dft_energy_ev_per_atom": -4.4186, "cell": [[8.105, -1.786, 0.000], [8.105, 1.786, 0.000], [-0.921, 0.000, 8.507]], "species": ["Bi", "Pd", "Pd", "Pd", "Pd", "Pb", "Pb", "Pb", "Pb", "Pb"], "fractional_positions": [[0.000, 0.000, 0.000], [0.183, 0.183, 0.070], [0.463, 0.463, 0.739], [0.537, 0.537, 0.261], [0.817, 0.817, 0.930], [0.000, 0.000, 0.500], [0.296, 0.296, 0.652], [0.356, 0.356, 0.197], [0.644, 0.644, 0.803], [0.704, 0.704, 0.348]]}


{"formula": "CaPu2Hg6", "functional": "GGA-PBE", "state": "optimized geometry", "dos_at_fermi_per_ev_cell": 19.951, "crystal_system": "hexagonal", "sg": "P6/mmm, No. 191", "magmom_total_mub_per_atom": 1.284, "dft_energy_ev_per_atom": -3.8655, "cell": [[8.818, 0.000, 0.000], [-4.409, 7.637, 0.000], [0.000, 0.000, 3.309]], "species": ["Ca", "Pu", "Pu", "Hg", "Hg", "Hg", "Hg", "Hg", "Hg"], "fractional_positions": [[0.000, 0.000, 0.000], [0.333, 0.667, 0.000], [0.667, 0.333, 0.000], [0.000, 0.332, 0.500], [0.000, 0.668, 0.500], [0.332, 0.000, 0.500], [0.332, 0.332, 0.500], [0.668, 0.000, 0.500], [0.668, 0.668, 0.500]]}